(1)
Ca2GaAgF8 | PBE-GGA | optimized geometry

The structure in extended XYZ format:
```
12
Lattice="5.0321 -0.0432 -0.0026 -0.0161 5.0229 -0.0048 0.0050 0.0083 7.2611" Properties=species:S:1:pos:R:3 pbc="T T T"
F 0.9138 4.0610 5.8876
F 0.9097 4.0548 1.3648
F 4.1113 0.9333 5.8889
F 4.1071 0.9271 1.3661
F 3.4068 3.4298 3.6251
F 1.4234 1.3695 -0.0017
F 1.6142 1.5583 3.6286
F 3.5975 3.6186 7.2554
Ag 0.0025 0.0041 3.6306
Ca 2.5118 2.4962 5.4728
Ca 2.5092 2.4919 1.7809
Ga 0.0000 0.0000 0.0000
```

Output
As for the total energy: -0.3728 Ry per atom. The value obtained for the formation energy from raw total energies is -3.0011 eV/atom. Its theoretical density is 3.707 Mg/m³. The magnetic moment is 0.000 μB/f.u.

***

(2)
Pr2Er7Tm | PBE-GGA | optimized geometry

The structure in extended XYZ format:
```
10
Lattice="-2.2081 2.4422 -5.1736 3.7807 -9.1918 3.7006 -9.8737 5.2195 -0.5393" Properties=species:S:1:pos:R:3 pbc="T T T"
Er -8.9290 4.2834 -3.8113
Er -2.7581 -4.9025 2.4913
Er 0.7863 -3.3748 -0.7365
Er 0.6278 -5.8135 1.7990
Er -5.9315 -1.5340 0.6212
Er -2.3697 0.0039 -2.6335
Er -5.5430 3.3723 -4.5036
Tm 0.0000 0.0000 0.0000
Pr -5.7435 0.9196 -1.9293
Pr -2.5577 -2.4498 -0.0831
```

Output
As for the energy of formation from the pure elements: 0.2 eV/f.u. As for the total energy: -0.3362 Ry per atom. Its theoretical density is 8.551 Mg/m³. The magnetic moment is 0.000 μB/f.u. For the energy above the most stable polymorph in this dataset, the calculation gives 0.00 eV per formula unit.

***

(3)
HfTiAs3 | PBE-GGA | optimized geometry

The structure in extended XYZ format:
```
5
Lattice="5.0730 0.0000 0.0000 0.0000 5.0730 0.0000 0.0000 0.0000 5.0730" Properties=species:S:1:pos:R:3 pbc="T T T"
As 2.5365 0.0000 0.0000
As 0.0000 0.0000 2.5365
As 0.0000 2.5365 0.0000
Hf 0.0000 0.0000 0.0000
Ti 2.5365 2.5365 2.5365
```

Output
As for the energy of formation from the pure elements: 2.3 eV/f.u. As for the total energy: -0.4338 Ry per atom. Its theoretical density is 5.738 Mg/m³. The magnetic moment is 0.137 μB/f.u. For the energy above the most stable polymorph in this dataset, the calculation gives 1.26 eV per formula unit.

***

(4)
TcGe3Br | PBE-GGA | optimized geometry

The structure in extended XYZ format:
```
5
Lattice="-1.6665 4.5527 -0.1817 -4.2733 -1.4946 1.7443 1.5808 0.7592 4.5235" Properties=species:S:1:pos:R:3 pbc="T T T"
Tc 0.0000 0.0000 0.0000
Ge -0.8332 2.2764 -0.0909
Ge 0.7904 0.3796 2.2617
Ge -2.1367 -0.7473 0.8721
Br -2.1795 1.9087 3.0430
```

Output
As for the total energy: -0.3871 Ry per atom. The value obtained for the formation energy from raw total energies is -0.0890 eV/atom. Its theoretical density is 5.756 Mg/m³. The magnetic moment is 0.000 μB/f.u. For the energy above the most stable polymorph in this dataset, the calculation gives 0.00 eV per formula unit.